Material: RbVGeOs2
Method: DFT, PBE-GGA
State: relaxed

The structure in POSCAR format:
```
RbVGeOs2
1.0
-0.4204 3.5933 3.1588
-4.1416 -1.7006 1.3833
2.2071 -2.6678 3.3284
Ge V Os Rb
1 1 2 1
Direct
0.5000 0.5000 0.5000
0.0000 0.5000 0.0000
0.5000 0.0000 0.0000
0.0000 0.0000 0.5000
0.0000 0.0000 0.0000
```

---

Material: RbZn2GeOs
Method: DFT, PBE-GGA
State: relaxed

The structure in POSCAR format:
```
RbZn2GeOs
1.0
5.0256 0.0000 0.0000
0.0000 5.0256 0.0000
0.0000 0.0000 4.7470
Zn Ge Os Rb
2 1 1 1
Direct
0.5000 0.0000 0.0000
0.0000 0.5000 0.0000
0.0000 0.0000 0.5000
0.0000 0.0000 0.0000
0.5000 0.5000 0.5000
```

---

Material: ReGeOs2
Method: DFT, PBE-GGA
State: relaxed

The structure in POSCAR format:
```
ReGeOs2
1.0
5.6071 0.0000 0.0000
0.0000 5.6071 0.0000
2.8035 2.8035 5.5222
Os Re Ge
4 2 2
Direct
0.3750 0.3726 0.7500
0.8750 0.8774 0.7500
0.1226 0.6250 0.2500
0.6274 0.1250 0.2500
0.7500 0.2500 0.5000
0.0000 0.0000 0.0000
0.5000 0.5000 0.0000
0.2500 0.7500 0.5000
```

---

Material: ReGeOs3
Method: DFT, PBE-GGA
State: relaxed

The structure in POSCAR format:
```
ReGeOs3
1.0
4.4476 0.0000 0.0000
0.0000 4.4476 0.0000
0.0000 0.0000 4.4476
Re Ge Os
1 1 3
Direct
0.5000 0.5000 0.5000
0.0000 0.0000 0.0000
0.0000 0.0000 0.5000
0.5000 0.0000 0.0000
0.0000 0.5000 0.0000
```

distance to the lowest polymorph of the same formula = 0 meV per atom

---

Material: ReGe2Os
Method: DFT, PBE-GGA
State: relaxed

The structure in POSCAR format:
```
ReGe2Os
1.0
-1.2190 -2.2339 1.3505
-0.3829 -2.4919 -1.3944
7.5627 -4.3450 2.7120
Ge Re Os
2 1 1
Direct
0.9058 0.9058 0.2827
0.0942 0.0942 0.7173
0.0000 0.0000 0.0000
0.5000 0.5000 0.5000
```

distance to the lowest polymorph of the same formula = 202 meV per atom

---

Material: ReGe2Os
Method: DFT, PBE-GGA
State: relaxed

The structure in POSCAR format:
```
ReGe2Os
1.0
0.0000 3.0684 3.0684
3.0684 0.0000 3.0684
3.0684 3.0684 0.0000
Ge Re Os
2 1 1
Direct
0.2500 0.2500 0.2500
0.7500 0.7500 0.7500
0.0000 0.0000 0.0000
0.5000 0.5000 0.5000
```

distance to the lowest polymorph of the same formula = 0 meV per atom

---

Material: ReGeOs3
Method: DFT, PBE-GGA
State: relaxed

The structure in POSCAR format:
```
ReGeOs3
1.0
-3.1228 0.6211 -3.5002
-1.2003 -4.5695 0.2600
-3.3461 1.0595 3.1733
Re Os Ge
1 3 1
Direct
0.0000 0.0000 0.0000
0.0000 0.5000 0.0000
0.5000 0.0000 0.0000
0.0000 0.0000 0.5000
0.5000 0.5000 0.5000
```

distance to the lowest polymorph of the same formula = 179 meV per atom

---

Material: ReGe2Os
Method: DFT, PBE-GGA
State: relaxed

The structure in POSCAR format:
```
ReGe2Os
1.0
-5.9388 -1.9561 3.3753
3.8209 -4.1572 4.3136
-0.7682 -1.0554 5.5157
Ge Re Os
4 2 2
Direct
0.6346 0.1250 0.2500
0.1154 0.6250 0.2500
0.8750 0.8846 0.7500
0.3750 0.3654 0.7500
0.2500 0.7500 0.5000
0.5000 0.5000 0.0000
0.0000 0.0000 0.0000
0.7500 0.2500 0.5000
```

distance to the lowest polymorph of the same formula = 710 meV per atom

---

Number 1: energy of formation 3406 meV per atom. Number 2: energy of formation 16 meV per atom. Number 3: energy of formation 1011 meV per atom. Number 4: energy of formation 2030 meV per atom. Number 5: energy of formation 435 meV per atom. Number 6: energy of formation 233 meV per atom. Number 7: energy of formation 2209 meV per atom. Number 8: energy of formation 944 meV per atom.